Record 1
Entry from Alexandria via LeMat-Bulk: Mn4ZnRh after structural relaxation (PBE-GGA).

extended XYZ file:
```
6
Lattice="0.000 3.315 3.315 3.315 0.000 3.315 3.315 3.315 0.000" Properties=species:S:1:pos:R:3 pbc="T T T"
Rh 1.658 1.658 1.658
Mn 4.150 2.481 2.481
Mn 2.481 2.481 4.150
Mn 4.150 4.150 4.150
Mn 2.481 4.150 2.481
Zn 0.000 0.000 0.000
```

- Energy of formation: 0.1600 eV/atom
- Fermi-level density of states: 11.77 states/eV/f.u.

Record 2
Entry from Alexandria via LeMat-Bulk: MnZn2Rh after structural relaxation (PBE-GGA).

extended XYZ file:
```
4
Lattice="4.296 0.000 0.000 2.148 3.720 0.000 2.148 1.240 3.507" Properties=species:S:1:pos:R:3 pbc="T T T"
Zn 0.000 0.000 0.000
Zn 6.444 3.720 2.631
Mn 4.296 2.480 1.754
Rh 2.148 1.240 0.877
```

- Energy of formation: -0.1638 eV/atom
- Fermi-level density of states: 2.02 states/eV/f.u.